P:
A plane-wave DFT calculation with meta-GGA SCAN was carried out for a crystal of CoPtAu2 relaxed with PBEsol.

The structure belongs to space group R3m (No. 160, hexagonal axes); the cell edges are 2.7723, 2.7723 and 27.0816 Å and the angles 90.00°, 90.00° and 120.00°. The distinct sites, in fractional coordinates, are Co at (0.0000, 0.0000, 0.0000), Pt at (0.0000, 0.0000, 0.7398), Au at (0.0000, 0.0000, 0.2543) and Au at (0.0000, 0.0000, 0.4958).

---

Q:
A plane-wave DFT calculation with meta-GGA SCAN was carried out for a crystal of CoPtAu2 relaxed with PBEsol.

The structure belongs to space group P4mm (No. 99); the cell edges are 2.771, 2.771 and 7.764 Å and the angles 90.00°, 90.00° and 90.00°. The distinct sites, in fractional coordinates, are Co at (0.000, 0.000, 0.000), Pt at (0.500, 0.500, 0.211), Au at (0.000, 0.000, 0.482) and Au at (0.500, 0.500, 0.763).

---

Q (5.5 kJ/mol of atoms below the next structure)

---

P:
A plane-wave DFT calculation with meta-GGA SCAN was carried out for a crystal of CoPtAu2 relaxed with PBEsol.

The structure belongs to space group Pmmm (No. 47); the cell edges are 2.801, 3.779 and 5.645 Å and the angles 90.00°, 90.00° and 90.00°. The distinct sites, in fractional coordinates, are Co at (0.000, 0.000, 0.000), Pt at (0.000, 0.000, 0.500) and Au at (0.500, 0.500, 0.239).

---

Q:
A plane-wave DFT calculation with meta-GGA SCAN was carried out for a crystal of CoPtAu2 relaxed with PBEsol.

The structure belongs to space group Fm-3m (No. 225); the cell edges are 6.226, 6.226 and 6.226 Å and the angles 90.00°, 90.00° and 90.00°. The distinct sites, in fractional coordinates, are Co at (0.000, 0.000, 0.000), Pt at (0.000, 0.000, 0.500) and Au at (0.250, 0.250, 0.250).

---

P (7.0 kJ/mol of atoms below the next structure)

---

P:
A plane-wave DFT calculation with meta-GGA SCAN was carried out for a crystal of CoRhAu relaxed with PBEsol.

The structure belongs to space group F-43m (No. 216); the cell edges are 5.719, 5.719 and 5.719 Å and the angles 90.00°, 90.00° and 90.00°. The distinct sites, in fractional coordinates, are Co at (0.000, 0.000, 0.000), Rh at (0.250, 0.250, 0.250) and Au at (0.250, 0.250, 0.750).

---

Q:
A plane-wave DFT calculation with meta-GGA SCAN was carried out for a crystal of CoRhAu relaxed with PBEsol.

The structure belongs to space group F-43m (No. 216); the cell edges are 5.864, 5.864 and 5.864 Å and the angles 90.00°, 90.00° and 90.00°. The distinct sites, in fractional coordinates, are Co at (0.000, 0.000, 0.000), Rh at (0.000, 0.000, 0.500) and Au at (0.250, 0.250, 0.750).

---

P (35.2 kJ/mol of atoms below the next structure)

---

P:
A plane-wave DFT calculation with meta-GGA SCAN was carried out for a crystal of Co2RuAu relaxed with PBEsol.

The structure belongs to space group R-3m (No. 166, hexagonal axes); the cell edges are 2.6554, 2.6554 and 25.3708 Å and the angles 90.00°, 90.00° and 120.00°. The distinct sites, in fractional coordinates, are Co at (0.0000, 0.0000, 0.2450), Ru at (0.0000, 0.0000, 0.5000) and Au at (0.0000, 0.0000, 0.0000).

---

Q:
A plane-wave DFT calculation with meta-GGA SCAN was carried out for a crystal of Co2RuAu relaxed with PBEsol.

The structure belongs to space group F-43m (No. 216); the cell edges are 5.972, 5.972 and 5.972 Å and the angles 90.00°, 90.00° and 90.00°. The distinct sites, in fractional coordinates, are Co at (0.000, 0.000, 0.000), Co at (0.250, 0.250, 0.250), Ru at (0.250, 0.250, 0.750) and Au at (0.000, 0.000, 0.500).

---

P (3.3 kJ/mol of atoms below the next structure)

---

P:
A plane-wave DFT calculation with meta-GGA SCAN was carried out for a crystal of SrCoAu2 relaxed with PBEsol.

The structure belongs to space group Pmm2 (No. 25); the cell edges are 3.459, 3.477 and 6.616 Å and the angles 90.00°, 90.00° and 90.00°. The distinct sites, in fractional coordinates, are Sr at (0.000, 0.000, 0.000), Co at (0.500, 0.500, 0.673), Au at (0.000, 0.000, 0.536) and Au at (0.500, 0.500, 0.287).

---

Q:
A plane-wave DFT calculation with meta-GGA SCAN was carried out for a crystal of SrCoAu2 relaxed with PBEsol.

The structure belongs to space group Cmmm (No. 65); the cell edges are 6.037, 6.065 and 4.093 Å and the angles 90.00°, 90.00° and 90.00°. The distinct sites, in fractional coordinates, are Sr at (0.000, 0.000, 0.000), Co at (0.000, 0.500, 0.000) and Au at (0.250, 0.250, 0.500).

---

R:
A plane-wave DFT calculation with meta-GGA SCAN was carried out for a crystal of SrCoAu2 relaxed with PBEsol.

The structure belongs to space group Immm (No. 71); the cell edges are 4.224, 5.343 and 7.467 Å and the angles 90.00°, 90.00° and 90.00°. The distinct sites, in fractional coordinates, are Sr at (0.000, 0.000, 0.000), Co at (0.000, 0.000, 0.500) and Au at (0.000, 0.500, 0.195).

---

R (13.0 kJ/mol of atoms below the next structure)

---

P:
A plane-wave DFT calculation with meta-GGA SCAN was carried out for a crystal of Ta2CoAu relaxed with PBEsol.

The structure belongs to space group P4/mmm (No. 123); the cell edges are 3.882, 3.882 and 4.034 Å and the angles 90.00°, 90.00° and 90.00°. The distinct sites, in fractional coordinates, are Ta at (0.000, 0.500, 0.000), Co at (0.000, 0.000, 0.500) and Au at (0.500, 0.500, 0.500).

---

Q:
A plane-wave DFT calculation with meta-GGA SCAN was carried out for a crystal of Ta2CoAu relaxed with PBEsol.

The structure belongs to space group P4mm (No. 99); the cell edges are 3.171, 3.171 and 6.180 Å and the angles 90.00°, 90.00° and 90.00°. The distinct sites, in fractional coordinates, are Ta at (0.000, 0.000, 0.000), Ta at (0.500, 0.500, 0.293), Co at (0.500, 0.500, 0.811) and Au at (0.000, 0.000, 0.554).

---

P (3.8 kJ/mol of atoms below the next structure)